[1]
5
Lattice="4.990 0.000 0.000 0.000 4.990 0.000 0.000 0.000 4.990" Properties=species:S:1:pos:R:3 comment="ZrSc3Fe | the Alexandria database | PBE | optimized geometry" relative_energy_ev_per_atom=1.420 ef_ev_per_atom=1.40 space_group=Pm-3m total_energy_ev_per_atom=-5.80 pbc="T T T"
Zr 0.000 0.000 0.000
Sc 0.000 0.000 2.495
Sc 0.000 2.495 0.000
Sc 2.495 0.000 0.000
Fe 2.495 2.495 2.495

=====

[2]
6
Lattice="0.000 3.503 3.503 3.503 0.000 3.503 3.503 3.503 0.000" Properties=species:S:1:pos:R:3 comment="ZrScFe4 | the Alexandria database | PBE | optimized geometry" ef_ev_per_atom=-0.29 space_group=F-43m total_energy_ev_per_atom=-8.41 pbc="T T T"
Zr 0.000 0.000 0.000
Sc 5.254 5.254 5.254
Fe 2.629 2.629 2.629
Fe 4.377 4.377 2.629
Fe 4.377 2.629 4.377
Fe 2.629 4.377 4.377

=====

[3]
6
Lattice="0.000 4.081 4.081 4.081 0.000 4.081 4.081 4.081 0.000" Properties=species:S:1:pos:R:3 comment="ZrSc4Fe | the Alexandria database | PBE | optimized geometry" ef_ev_per_atom=0.57 space_group=F-43m total_energy_ev_per_atom=-6.49 pbc="T T T"
Zr 0.000 0.000 0.000
Sc 3.063 3.063 3.063
Sc 5.099 5.099 3.063
Sc 5.099 3.063 5.099
Sc 3.063 5.099 5.099
Fe 6.121 6.121 6.121

=====

[4]
12
Lattice="2.467 1.424 7.946 -2.467 1.424 7.946 0.000 -2.848 7.946" Properties=species:S:1:pos:R:3 comment="Zr2ScFe9 | the Alexandria database | PBE | optimized geometry" ef_ev_per_atom=-0.20 space_group=R-3m total_energy_ev_per_atom=-8.50 pbc="T T T"
Zr 0.000 0.000 3.372
Zr 0.000 0.000 20.466
Sc 0.000 0.000 0.000
Fe -1.241 -0.716 9.935
Fe 0.000 0.000 7.936
Fe 0.000 -1.433 13.903
Fe -1.241 0.716 13.903
Fe 0.000 0.000 11.919
Fe 1.241 -0.716 9.935
Fe 0.000 1.433 9.935
Fe 0.000 0.000 15.902
Fe 1.241 0.716 13.903

=====

[5]
18
Lattice="7.022 -3.918 0.000 7.022 3.918 0.000 0.000 0.000 6.738" Properties=species:S:1:pos:R:3 comment="Zr5Sc2Fe2 | the Alexandria database | PBE | optimized geometry" ef_ev_per_atom=0.01 space_group=Cmce total_energy_ev_per_atom=-8.03 pbc="T T T"
Zr 0.000 0.000 0.000
Zr 5.392 2.200 4.780
Zr 5.392 1.717 1.411
Zr 8.652 2.200 4.780
Zr 8.652 1.717 1.411
Zr 7.022 0.000 3.369
Zr 5.392 -1.717 5.327
Zr 5.392 -2.200 1.958
Zr 8.652 -1.717 5.327
Zr 8.652 -2.200 1.958
Sc 3.465 0.000 0.000
Sc 3.557 0.000 3.369
Sc 10.487 0.000 3.369
Sc 10.580 0.000 0.000
Fe 7.022 3.072 2.661
Fe 7.022 0.846 6.030
Fe 7.022 -0.846 0.708
Fe 7.022 -3.072 4.077

=====

[6]
5
Lattice="4.824 0.000 0.000 0.000 4.824 0.000 0.000 0.000 4.824" Properties=species:S:1:pos:R:3 comment="ZrSc3Fe | the Alexandria database | PBE | optimized geometry" relative_energy_ev_per_atom=0.204 ef_ev_per_atom=0.18 space_group=Pm-3m total_energy_ev_per_atom=-7.02 pbc="T T T"
Zr 0.000 0.000 0.000
Sc 0.000 2.412 2.412
Sc 2.412 0.000 2.412
Sc 2.412 2.412 0.000
Fe 2.412 2.412 2.412

=====

[7]
7
Lattice="5.651 -1.602 0.000 5.651 1.602 0.000 -5.438 0.000 7.726" Properties=species:S:1:pos:R:3 comment="Zr3Sc2Fe2 | the Alexandria database | PBE | optimized geometry" relative_energy_ev_per_atom=0.148 ef_ev_per_atom=0.03 space_group=C2/m total_energy_ev_per_atom=-7.86 pbc="T T T"
Zr 0.000 0.000 0.000
Zr 3.574 0.000 2.354
Zr 2.290 0.000 5.372
Sc -0.739 0.000 4.913
Sc 6.603 0.000 2.813
Fe -2.048 0.000 7.149
Fe 7.913 0.000 0.577

=====

[8]
20
Lattice="5.700 0.000 0.000 0.000 9.002 0.000 0.000 0.000 8.074" Properties=species:S:1:pos:R:3 comment="ZrSc3Fe | the Alexandria database | PBE | optimized geometry" relative_energy_ev_per_atom=0.000 ef_ev_per_atom=-0.02 space_group=Pnma total_energy_ev_per_atom=-7.22 pbc="T T T"
Zr 1.304 2.250 1.133
Zr 1.545 6.751 5.171
Zr 4.154 2.250 2.904
Zr 4.395 6.751 6.941
Sc 0.707 0.289 6.752
Sc 0.707 4.212 6.752
Sc 1.166 2.250 4.349
Sc 1.684 6.751 0.312
Sc 2.142 4.789 2.715
Sc 2.142 8.713 2.715
Sc 3.557 0.289 5.359
Sc 3.557 4.212 5.359
Sc 4.015 2.250 7.763
Sc 4.534 6.751 3.725
Sc 4.992 4.789 1.322
Sc 4.992 8.713 1.322
Fe 0.000 0.000 4.037
Fe 0.000 4.501 4.037
Fe 2.850 0.000 0.000
Fe 2.850 4.501 0.000

=====

[9]
10
Lattice="0.000 6.099 2.312 5.422 0.000 2.312 5.422 6.099 0.000" Properties=species:S:1:pos:R:3 comment="Fe3Se2 | the Alexandria database | PBE | optimized geometry" space_group=Fdd2 e_form_raw_ev_per_atom=0.125 total_energy_ev_per_atom=-6.35 pbc="T T T"
Fe 0.000 0.000 0.000
Fe 2.711 3.050 1.156
Fe 6.523 6.671 2.352
Fe 4.321 5.528 2.352
Fe 9.235 8.577 3.508
Fe 7.032 9.721 3.508
Se 4.897 2.125 1.291
Se 8.658 5.175 2.447
Se 0.525 3.975 1.291
Se 2.186 7.024 2.447

=====

[10]
6
Lattice="5.061 0.000 0.000 -2.531 4.383 0.000 0.000 0.000 8.505" Properties=species:S:1:pos:R:3 comment="FeSe5 | the Alexandria database | PBE | optimized geometry" space_group=P6/mmm e_form_raw_ev_per_atom=0.699 total_energy_ev_per_atom=-3.61 pbc="T T T"
Fe 0.000 0.000 0.000
Se -1.265 2.192 4.252
Se 0.000 2.922 0.000
Se 2.531 0.000 4.252
Se 1.265 2.192 4.252
Se 2.531 1.461 0.000

=====

[11]
3
Lattice="4.218 0.000 0.000 0.000 4.218 0.000 0.000 0.000 3.241" Properties=species:S:1:pos:R:3 comment="FeSe2 | the Alexandria database | PBE | optimized geometry" space_group=P4/mmm e_form_raw_ev_per_atom=0.298 total_energy_ev_per_atom=-4.85 pbc="T T T"
Fe 0.000 0.000 0.000
Se 0.000 2.109 1.620
Se 2.109 0.000 1.620

=====

[12]
6
Lattice="0.000 3.400 3.400 3.400 0.000 3.400 3.400 3.400 0.000" Properties=species:S:1:pos:R:3 comment="Fe5Se | the Alexandria database | PBE | optimized geometry" relative_energy_ev_per_atom=0.221 space_group=F-43m e_form_raw_ev_per_atom=0.348 total_energy_ev_per_atom=-7.28 pbc="T T T"
Fe 0.000 0.000 0.000
Fe 4.253 2.547 2.547
Fe 2.547 4.253 2.547
Fe 2.547 2.547 4.253
Fe 4.253 4.253 4.253
Se 1.700 1.700 1.700

=====

| no. | D(E_F) (states/eV/cell) |
| --- | --- |
| 1 | 10.00 |
| 2 | 5.33 |
| 3 | 14.60 |
| 4 | 10.69 |
| 5 | 19.68 |
| 6 | 7.82 |
| 7 | 9.87 |
| 8 | 15.28 |
| 9 | 9.80 |
| 10 | 8.45 |
| 11 | 3.40 |
| 12 | 5.41 |